1.
Here is a relaxed Al2HgS3 crystal from the Alexandria database. Energies are from PBE.

Lattice parameters (Å, degrees): 6.911 6.911 7.138 61.05 61.05 60.00
Sites, in units of the cell vectors:
1 S 0.243 0.243 0.781
2 S 0.268 0.757 0.219
3 S 0.243 0.732 0.781
4 S 0.732 0.243 0.781
5 S 0.757 0.757 0.219
6 S 0.757 0.268 0.219
7 Al 0.500 0.500 0.000
8 Al 0.000 0.500 0.000
9 Al 0.000 0.000 0.000
10 Al 0.500 0.000 0.000
11 Hg 0.211 0.211 0.367
12 Hg 0.789 0.789 0.633

Output
V: 20.4 Å³ per atom
E_form (uncorrected): -688 meV per atom

2.
Here is a relaxed AlHgS2 crystal from the Alexandria database. Energies are from PBE.

Lattice parameters (Å, degrees): 4.705 4.705 4.705 60.00 60.00 60.00
Sites, in units of the cell vectors:
1 Hg 0.500 0.500 0.500
2 Al 0.000 0.000 0.000
3 S 0.250 0.250 0.250
4 S 0.750 0.750 0.750

Output
V: 18.4 Å³ per atom
E_form (uncorrected): 203 meV per atom
energy above the lowest structure with this stoichiometry: 826 meV per atom

3.
Here is a relaxed AlHgS3 crystal from the Alexandria database. Energies are from PBE.

Lattice parameters (Å, degrees): 3.747 7.254 7.254 134.49 90.00 90.00
Sites, in units of the cell vectors:
1 S 0.500 0.193 0.306
2 S 0.000 0.231 0.769
3 S 0.500 0.694 0.807
4 Hg 0.500 0.112 0.888
5 Al 0.000 0.398 0.602

Output
V: 28.1 Å³ per atom
E_form (uncorrected): -300 meV per atom
energy above the lowest structure with this stoichiometry: 0 meV per atom

4.
Here is a relaxed AlHgS2 crystal from the Alexandria database. Energies are from PBE.

Lattice parameters (Å, degrees): 6.383 6.383 6.612 61.14 61.14 90.00
Sites, in units of the cell vectors:
1 Al 0.500 0.500 0.000
2 Al 0.250 0.750 0.500
3 Hg 0.000 0.000 0.000
4 Hg 0.750 0.250 0.500
5 S 0.204 0.625 0.250
6 S 0.875 0.796 0.750
7 S 0.546 0.125 0.250
8 S 0.375 0.454 0.750

Output
V: 24.6 Å³ per atom
E_form (uncorrected): -509 meV per atom
energy above the lowest structure with this stoichiometry: 115 meV per atom

- V of number 2 (AlHgS2)?
  18.4 Å³ per atom

What did the second record say?
Here is a relaxed AlHgS2 crystal from the Alexandria database. Energies are from PBE.

Lattice parameters (Å, degrees): 4.705 4.705 4.705 60.00 60.00 60.00
Sites, in units of the cell vectors:
1 Hg 0.500 0.500 0.500
2 Al 0.000 0.000 0.000
3 S 0.250 0.250 0.250
4 S 0.750 0.750 0.750

Output
V: 18.4 Å³ per atom
E_form (uncorrected): 203 meV per atom
energy above the lowest structure with this stoichiometry: 826 meV per atom

- What is the E_form (uncorrected) in the first record?
  -688 meV per atom

- Among the records above, which one has the lowest E_form (uncorrected)?
  Al2HgS3